{"formula": "Re4Tc5", "functional": "meta-GGA SCAN", "state": "single point on PBEsol structure", "cell": [[-0.031, -3.852, 0.052], [5.599, -1.990, -1.348], [1.359, -1.861, 5.641]], "species": ["Re", "Re", "Re", "Re", "Tc", "Tc", "Tc", "Tc", "Tc"], "fractional_positions": [[0.000, 0.668, 0.332], [0.000, 0.332, 0.668], [0.668, 0.332, 0.332], [0.332, 0.668, 0.668], [0.000, 0.000, 0.000], [0.666, 0.000, 0.668], [0.666, 0.668, 0.000], [0.334, 0.332, 0.000], [0.334, 0.000, 0.332]], "formation_enthalpy_0k_ev_per_atom": 0.046, "sg": "No. 139", "dft_energy_ev_per_fu": -459.27}


{"formula": "ReTc4", "functional": "meta-GGA SCAN", "state": "single point on PBEsol structure", "cell": [[3.839, 0.000, 0.000], [1.920, 4.293, 0.000], [1.920, 0.000, 4.293]], "species": ["Re", "Tc", "Tc", "Tc", "Tc"], "fractional_positions": [[0.000, 0.000, 0.000], [0.801, 0.798, 0.600], [0.199, 0.202, 0.400], [0.599, 0.600, 0.202], [0.401, 0.400, 0.798]], "formation_enthalpy_0k_ev_per_atom": 0.050, "sg": "No. 87", "dft_energy_ev_per_fu": -211.09}


{"formula": "ReTc2", "functional": "meta-GGA SCAN", "state": "single point on PBEsol structure", "cell": [[-0.909, 1.903, -1.719], [-0.850, -1.944, -1.703], [-4.249, -0.047, 4.347]], "species": ["Re", "Tc", "Tc"], "fractional_positions": [[0.500, 0.500, 0.000], [0.168, 0.168, 0.336], [0.832, 0.832, 0.664]], "formation_enthalpy_0k_ev_per_atom": 0.051, "sg": "No. 139", "dft_energy_ev_per_fu": -141.06}


{"formula": "Re5Tc3", "functional": "meta-GGA SCAN", "state": "single point on PBEsol structure", "cell": [[-2.348, -3.017, 0.532], [4.165, -3.411, -0.956], [1.217, -0.007, 5.331]], "species": ["Re", "Re", "Re", "Re", "Re", "Tc", "Tc", "Tc"], "fractional_positions": [[0.000, 0.000, 0.000], [0.000, 0.500, 0.000], [0.000, 0.000, 0.500], [0.500, 0.749, 0.749], [0.500, 0.251, 0.251], [0.000, 0.500, 0.500], [0.500, 0.749, 0.251], [0.500, 0.251, 0.749]], "formation_enthalpy_0k_ev_per_atom": 0.042, "sg": "No. 65", "dft_energy_ev_per_fu": -460.33}


{"formula": "Re5Tc", "functional": "meta-GGA SCAN", "state": "single point on PBEsol structure", "cell": [[2.749, 0.000, -0.001], [0.000, 4.429, 0.000], [-1.376, 0.000, 7.144]], "species": ["Re", "Re", "Re", "Re", "Re", "Tc"], "fractional_positions": [[0.000, 0.000, 0.001], [0.333, 0.000, 0.667], [0.666, 0.000, 0.333], [0.445, 0.500, 0.890], [0.778, 0.500, 0.554], [0.112, 0.500, 0.223]], "formation_enthalpy_0k_ev_per_atom": -0.004, "sg": "No. 38", "dft_energy_ev_per_fu": -390.57}


{"formula": "ReTc2", "functional": "meta-GGA SCAN", "state": "single point on PBEsol structure", "cell": [[2.909, 0.000, 0.000], [0.000, 4.187, 0.000], [0.000, 0.000, 4.187]], "species": ["Re", "Tc", "Tc"], "fractional_positions": [[0.000, 0.000, 0.000], [0.500, 0.000, 0.500], [0.500, 0.500, 0.000]], "formation_enthalpy_0k_ev_per_atom": 0.906, "sg": "No. 123", "dft_energy_ev_per_fu": -138.50}


{"formula": "ReTc3", "functional": "meta-GGA SCAN", "state": "single point on PBEsol structure", "cell": [[-0.501, 2.331, 1.325], [-4.478, -0.098, -1.521], [1.331, -3.388, 3.656]], "species": ["Re", "Tc", "Tc", "Tc"], "fractional_positions": [[0.000, 0.998, 0.000], [0.249, 0.916, 0.498], [0.500, 0.501, 0.000], [0.751, 0.418, 0.502]], "formation_enthalpy_0k_ev_per_atom": -0.007, "sg": "No. 44", "dft_energy_ev_per_fu": -176.31}


{"formula": "ReTc3", "functional": "meta-GGA SCAN", "state": "single point on PBEsol structure", "cell": [[2.718, 0.000, 0.000], [0.000, 2.718, 0.000], [0.000, 0.000, 7.679]], "species": ["Re", "Tc", "Tc", "Tc"], "fractional_positions": [[0.000, 0.000, 0.000], [0.000, 0.000, 0.500], [0.500, 0.500, 0.749], [0.500, 0.500, 0.251]], "formation_enthalpy_0k_ev_per_atom": 0.053, "sg": "No. 123", "dft_energy_ev_per_fu": -176.06}


{"formula": "Re3Tc", "functional": "meta-GGA SCAN", "state": "single point on PBEsol structure", "cell": [[2.739, 0.000, 0.000], [1.370, 2.372, 0.000], [1.370, 0.791, 8.928]], "species": ["Re", "Re", "Re", "Tc"], "fractional_positions": [[0.251, 0.251, 0.248], [0.500, 0.500, 0.500], [0.749, 0.749, 0.752], [0.000, 0.000, 0.000]], "formation_enthalpy_0k_ev_per_atom": 0.047, "sg": "No. 166", "dft_energy_ev_per_fu": -248.16}


{"formula": "ReTc2", "functional": "meta-GGA SCAN", "state": "single point on PBEsol structure", "cell": [[2.722, 0.000, 0.000], [-1.361, 2.357, 0.000], [0.000, 0.000, 6.659]], "species": ["Re", "Tc", "Tc"], "fractional_positions": [[0.000, 0.000, 0.000], [0.667, 0.333, 0.665], [0.333, 0.667, 0.335]], "formation_enthalpy_0k_ev_per_atom": 0.048, "sg": "No. 164", "dft_energy_ev_per_fu": -141.07}


{"formula": "Re2Tc3", "functional": "meta-GGA SCAN", "state": "single point on PBEsol structure", "cell": [[-0.714, -1.172, 4.639], [3.454, -3.155, 2.257], [3.848, 5.720, -0.485]], "species": ["Re", "Re", "Re", "Re", "Tc", "Tc", "Tc", "Tc", "Tc", "Tc"], "fractional_positions": [[0.891, 0.563, 0.101], [0.352, 0.437, 0.899], [0.040, 0.063, 0.399], [0.704, 0.937, 0.601], [0.453, 0.113, 0.196], [0.370, 0.887, 0.804], [0.507, 0.613, 0.304], [0.816, 0.387, 0.696], [0.934, 0.000, 0.000], [0.184, 0.500, 0.500]], "formation_enthalpy_0k_ev_per_atom": 0.038, "sg": "No. 43", "dft_energy_ev_per_fu": -247.18}


{"formula": "ReTc2", "functional": "meta-GGA SCAN", "state": "single point on PBEsol structure", "cell": [[2.696, 0.000, 0.000], [0.000, 4.283, 0.000], [0.000, -2.142, 3.710]], "species": ["Re", "Tc", "Tc"], "fractional_positions": [[0.500, 0.000, 0.000], [0.000, 0.333, 0.667], [0.000, 0.667, 0.333]], "formation_enthalpy_0k_ev_per_atom": 0.088, "sg": "No. 191", "dft_energy_ev_per_fu": -140.95}